[1]
VASP calculation (PBE) on TmSiBRu2 after structural relaxation.

## Properties
Total energy   -7.6479 eV per atom
Magnetic moment   0.00 μB per atom

Lattice parameters (Å, degrees): 3.8633 5.9044 7.1501 90.00 90.00 109.10
Closest atoms and distances in Å follow each position.
Fractional coordinates of all 10 atoms:
Ru1 0.8307 0.6614 0.0589  1 B 1.94
Si1 0.7302 0.4604 0.7500  6 Ru 2.46-2.48
Ru2 0.8307 0.6614 0.4411  1 B 1.94
Si2 0.2698 0.5396 0.2500  6 Ru 2.46-2.48
B1 0.0000 0.0000 0.5000  2 Ru 1.94
Tm1 0.5485 0.0970 0.2500  4 B 2.69
Ru3 0.1693 0.3386 0.5589  1 B 1.94
Tm2 0.4515 0.9030 0.7500  4 B 2.69
Ru4 0.1693 0.3386 0.9411  1 B 1.94
B2 0.0000 0.0000 0.0000  2 Ru 1.94


[2]
VASP calculation (PBE) on Cs2Sb2P after structural relaxation.

## Properties
Total energy   -3.1602 eV per atom
Magnetic moment   0.00 μB per atom

Lattice parameters (Å, degrees): 7.5909 7.5909 6.2795 90.00 90.00 90.00
Closest atoms and distances in Å follow each position.
Fractional coordinates of all 10 atoms:
Cs1 0.3214 0.1786 0.5000  6 Sb 3.72-3.96, 5 Cs 3.83-3.95
Cs2 0.1786 0.6786 0.5000  6 Sb 3.72-3.96, 5 Cs 3.83-3.95
Cs3 0.8214 0.3214 0.5000  6 Sb 3.72-3.96, 5 Cs 3.83-3.95
Cs4 0.6786 0.8214 0.5000  6 Sb 3.72-3.96, 5 Cs 3.83-3.95
Sb1 0.3636 0.8636 0.0000  1 Sb 2.93, 2 P 2.95
P1 0.0000 0.0000 0.0000  4 Sb 2.95
Sb2 0.8636 0.6364 0.0000  1 Sb 2.93, 2 P 2.95
P2 0.5000 0.5000 0.0000  4 Sb 2.95
Sb3 0.6364 0.1364 0.0000  1 Sb 2.93, 2 P 2.95
Sb4 0.1364 0.3636 0.0000  1 Sb 2.93, 2 P 2.95


[3]
VASP calculation (PBE) on NaIn16Sn12 after structural relaxation.

## Properties
Total energy   -3.1917 eV per atom
Magnetic moment   0.00 μB per atom
Formation energy from the elements   0.021 eV per atom

Lattice parameters (Å, degrees): 10.2601 10.2601 10.5538 111.19 111.19 109.70
Closest atoms and distances in Å follow each position.
Fractional coordinates of all 29 atoms:
In1 0.6509 0.9913 0.9914  4 In 3.26-3.49, 5 Sn 3.30-3.57
Sn1 0.1969 0.9994 0.3944  5 In 3.14-3.34, 3 Sn 3.14-3.31
Sn2 0.3817 0.1939 0.0065  3 Sn 3.12-3.27, 4 In 3.23-3.43, 1 Na 3.39
In2 0.3110 0.3110 0.7352  5 Sn 3.14-3.43, 3 In 3.24-3.46
Sn3 0.8055 0.8055 0.1666  3 Sn 3.08-3.17, 1 Na 3.27, 2 In 3.34
In3 0.3587 0.3587 0.3522  3 In 3.31-3.50, 1 Na 3.43, 7 Sn 3.47-3.70
Sn4 0.1939 0.3817 0.0065  3 Sn 3.12-3.27, 4 In 3.23-3.43, 1 Na 3.39
In4 0.6982 0.4107 0.0066  5 Sn 3.26-3.61, 4 In 3.28-3.46, 1 Na 3.54
Sn5 0.8076 0.1991 0.7999  3 Sn 3.11-3.24, 5 In 3.11-3.39
In5 0.0078 0.4158 0.6989  5 Sn 3.14-3.46, 4 In 3.26-3.51
Sn6 0.6238 0.8157 0.6252  3 Sn 3.11-3.24, 4 In 3.20-3.48, 1 Na 3.36
In6 0.9913 0.6509 0.9914  4 In 3.26-3.49, 5 Sn 3.30-3.57
Sn7 0.9994 0.1969 0.3944  5 In 3.14-3.34, 3 Sn 3.14-3.31
In7 0.2784 0.5909 0.5845  5 Sn 3.11-3.32, 2 In 3.31-3.44
In8 0.9957 0.9957 0.9988  8 Sn 3.48-3.75, 4 In 3.49-3.69
Na1 0.6077 0.6077 0.2852  5 Sn 3.27-3.39, 5 In 3.43-3.54
In9 0.9942 0.9942 0.6476  3 In 3.24-3.34, 6 Sn 3.49-3.63
In10 0.3058 0.7222 0.3135  5 Sn 3.20-3.48, 4 In 3.34-3.52
Sn8 0.9954 0.3529 0.1870  3 Sn 3.14-3.27, 8 In 3.29-3.48
In11 0.7222 0.3058 0.3135  5 Sn 3.20-3.48, 4 In 3.34-3.52
Sn9 0.8157 0.6238 0.6252  3 Sn 3.11-3.24, 4 In 3.20-3.48, 1 Na 3.36
In12 0.6827 0.0008 0.4032  5 Sn 3.25-3.60, 6 In 3.34-3.52, 1 Na 3.46
Sn10 0.1991 0.8076 0.7999  3 Sn 3.11-3.24, 5 In 3.11-3.39
Sn11 0.3529 0.9954 0.1870  3 Sn 3.14-3.27, 8 In 3.29-3.48
In13 0.4158 0.0078 0.6989  5 Sn 3.14-3.46, 4 In 3.26-3.51
In14 0.0008 0.6827 0.4032  5 Sn 3.25-3.60, 6 In 3.34-3.52, 1 Na 3.46
Sn12 0.6055 0.6055 0.7925  3 Sn 3.08-3.24, 3 In 3.14-3.19
In15 0.4107 0.6982 0.0066  5 Sn 3.26-3.61, 4 In 3.28-3.46, 1 Na 3.54
In16 0.5909 0.2784 0.5845  5 Sn 3.11-3.32, 2 In 3.31-3.44


[4]
VASP calculation (PBE) on BeCo12B6 after structural relaxation.

## Properties
Total energy   -6.9807 eV per atom
Magnetic moment   0.45 μB per atom
Formation energy from the elements   -0.188 eV per atom

Lattice parameters (Å, degrees): 6.0063 6.0063 6.0063 109.47 109.47 109.47
Closest atoms and distances in Å follow each position.
Fractional coordinates of all 19 atoms:
Co1 0.2927 0.1059 0.8132  3 B 1.94-2.12
Co2 0.7073 0.8941 0.1868  3 B 1.94-2.12
Co3 0.8941 0.1868 0.7073  3 B 1.94-2.12
Co4 0.8132 0.7073 0.5205  3 B 1.94-2.12
Co5 0.4795 0.1868 0.2927  3 B 1.94-2.12
Co6 0.8132 0.2927 0.1059  3 B 1.94-2.12
Co7 0.5205 0.8132 0.7073  3 B 1.94-2.12
Co8 0.1059 0.8132 0.2927  3 B 1.94-2.12
Co9 0.1868 0.7073 0.8941  3 B 1.94-2.12
Co10 0.2927 0.4795 0.1868  3 B 1.94-2.12
B1 0.6244 0.5000 0.1244  1 B 1.73
Co11 0.7073 0.5205 0.8132  3 B 1.94-2.12
B2 0.3756 0.5000 0.8756  1 B 1.73
B3 0.5000 0.1244 0.6244  1 B 1.73
B4 0.8756 0.3756 0.5000  1 B 1.73
Co12 0.1868 0.2927 0.4795  3 B 1.94-2.12
B5 0.1244 0.6244 0.5000  1 B 1.73
Be1 0.0000 0.0000 0.0000  12 Co 2.41
B6 0.5000 0.8756 0.3756  1 B 1.73


[5]
VASP calculation (PBE) on Er5Ni2Rh after structural relaxation.

## Properties
Total energy   -5.7149 eV per atom
Magnetic moment   0.00 μB per atom
Formation energy from the elements   -0.499 eV per atom

Lattice parameters (Å, degrees): 7.0336 7.0336 8.7291 113.76 113.76 90.00
Closest atoms and distances in Å follow each position.
Fractional coordinates of all 16 atoms:
Er1 0.5000 0.5000 0.0000  4 Ni 2.79
Er2 0.0000 0.0000 0.0000  4 Ni 2.79
Er3 0.9723 0.4723 0.2899  3 Ni 2.91-2.96, 2 Rh 3.01
Rh1 0.2500 0.2500 0.5000  8 Er 3.01
Er4 0.6824 0.1824 0.7101  3 Ni 2.91-2.96, 2 Rh 3.01
Ni1 0.6223 0.1223 0.0000  1 Ni 2.43
Er5 0.3176 0.8176 0.2899  3 Ni 2.91-2.96, 2 Rh 3.01
Er6 0.5277 0.6824 0.7101  3 Ni 2.91-2.96, 2 Rh 3.01
Rh2 0.7500 0.7500 0.5000  8 Er 3.01
Ni2 0.8777 0.6223 0.0000  1 Ni 2.43
Er7 0.1824 0.0277 0.7101  3 Ni 2.91-2.96, 2 Rh 3.01
Er8 0.4723 0.3176 0.2899  3 Ni 2.91-2.96, 2 Rh 3.01
Er9 0.8176 0.9723 0.2899  3 Ni 2.91-2.96, 2 Rh 3.01
Ni3 0.3777 0.8777 0.0000  1 Ni 2.43
Ni4 0.1223 0.3777 0.0000  1 Ni 2.43
Er10 0.0277 0.5277 0.7101  3 Ni 2.91-2.96, 2 Rh 3.01